# Pr2Y2I7 | Alexandria via LeMat-Bulk | GGA-PBE | relaxed
# Total moment = 0.92 μB/cell
# VASP energy = -4.04 eV/atom
data_Pr2Y2I7
_chemical_formula_sum 'Pr2 Y2 I7'
_symmetry_space_group_name_H-M 'P 1'
_symmetry_Int_Tables_number 1
_symmetry_space_group_name_Hall 'P 1'
_cell_length_a 8.1786
_cell_length_b 8.1786
_cell_length_c 8.2435
_cell_angle_alpha 91.08
_cell_angle_beta 91.08
_cell_angle_gamma 111.28
loop_
_atom_site_label
_atom_site_type_symbol
_atom_site_fract_x
_atom_site_fract_y
_atom_site_fract_z
Pr1 Pr 0.1371 0.8629 0.0000
Pr2 Pr 0.8629 0.1371 0.0000
Y1 Y 0.2035 0.2035 0.3352
Y2 Y 0.7965 0.7965 0.6648
I1 I 0.0872 0.4893 0.2191
I2 I 0.1281 0.1281 0.7122
I3 I 0.4893 0.0872 0.2191
I4 I 0.5000 0.5000 0.5000
I5 I 0.5107 0.9128 0.7809
I6 I 0.8719 0.8719 0.2878
I7 I 0.9128 0.5107 0.7809